[1]
8
Lattice="7.910 -0.973 -1.047 -3.324 7.243 -1.047 0.920 1.259 7.531" Properties=species:S:1:pos:R:3 comment="TmNpI6 (PBE, optimized geometry)" raw_formation_energy_mev_per_atom=-1108.3 energy_ev_per_atom=-4.45 crystal_system=monoclinic sg="C2/m (12)" pbc="T T T"
Np 0.000 0.000 0.000
I 2.062 2.819 5.079
I 3.444 4.709 0.357
I -1.662 6.008 4.760
I -0.723 7.291 0.676
I 6.229 0.237 4.760
Tm 0.460 0.629 3.765
I 7.168 1.520 0.676

[2]
6
Lattice="-2.067 -1.709 3.274 0.684 -3.173 1.534 5.273 6.787 8.641" Properties=species:S:1:pos:R:3 comment="NpVI (PBE, optimized geometry)" raw_formation_energy_mev_per_atom=149.3 energy_ev_per_atom=-7.72 crystal_system=triclinic sg="P1 (1)" pbc="T T T"
V 1.513 1.442 5.161
V -0.003 -3.331 2.731
Np 0.921 1.345 3.063
I 1.971 0.730 7.885
Np -0.364 -0.547 3.922
I 2.938 4.413 10.379